Entry 1:
First-principles (PBE) data for a relaxed structure of NaGdTl2, as listed in Alexandria.

```
NaGdTl2
1.0
3.597 0.000 0.000
1.798 3.115 0.000
1.798 1.038 10.538
Na Tl Gd
1 2 1
direct
0.500 0.500 0.500
0.250 0.250 0.251
0.750 0.750 0.749
0.000 0.000 0.000
```

For the density, the calculation gives 8.28 g/cm³. The total magnetization is 7.727 μB per cell. The space-group type is R-3m, No. 166.

***

Entry 2:
First-principles (PBE) data for a relaxed structure of NaGd2Tm, as listed in Alexandria.

```
NaGd2Tm
1.0
3.503 0.000 0.000
1.751 3.033 0.000
1.751 1.011 12.619
Tm Gd Na
1 2 1
direct
0.500 0.500 0.500
0.907 0.907 0.278
0.093 0.093 0.722
0.000 0.000 0.000
```

For the density, the calculation gives 6.27 g/cm³. The calculation puts the energy above the most stable polymorph in this dataset at 0.033 eV per atom. The total magnetization is 14.870 μB per cell. The space-group type is R-3m, No. 166.

***

Entry 3:
First-principles (PBE) data for a relaxed structure of NaGd2Tm, as listed in Alexandria.

```
NaGd2Tm
1.0
-1.485 2.952 1.141
-2.965 -1.738 0.639
3.392 -2.133 9.933
Tm Gd Na
1 2 1
direct
0.500 0.500 0.000
0.000 0.000 0.230
0.000 0.000 0.770
0.500 0.500 0.500
```

For the density, the calculation gives 6.43 g/cm³. The calculation puts the energy above the most stable polymorph in this dataset at 0.000 eV per atom. The total magnetization is 14.901 μB per cell. The space-group type is P4/mmm, No. 123.

***

Entry 4:
First-principles (PBE) data for a relaxed structure of NaGdY, as listed in Alexandria.

```
NaGdY
1.0
3.557 0.000 0.000
-1.779 3.081 0.000
0.000 0.000 9.236
Y Na Gd
1 1 1
direct
0.333 0.667 0.651
0.000 0.000 0.999
0.667 0.333 0.350
```

For the density, the calculation gives 4.42 g/cm³. The calculation puts the energy above the most stable polymorph in this dataset at 0.000 eV per atom. The total magnetization is 7.637 μB per cell. The space-group type is P3m1, No. 156.

***

Entry 5:
First-principles (PBE) data for a relaxed structure of NaGdY2, as listed in Alexandria.

```
NaGdY2
1.0
3.551 0.000 0.000
0.000 3.551 0.000
0.000 0.000 10.555
Na Gd Y
1 1 2
direct
0.500 0.500 0.500
0.500 0.500 0.000
0.000 0.000 0.232
0.000 0.000 0.768
```

For the density, the calculation gives 4.47 g/cm³. The calculation puts the energy above the most stable polymorph in this dataset at 0.015 eV per atom. The total magnetization is 7.151 μB per cell. The space-group type is P4/mmm, No. 123.

***

Entry 6:
First-principles (PBE) data for a relaxed structure of NaGdY, as listed in Alexandria.

```
NaGdY
1.0
3.559 0.000 0.000
0.000 3.559 0.000
-1.779 -1.779 8.022
Gd Na Y
1 1 1
direct
0.324 0.324 0.648
0.001 0.001 0.002
0.675 0.675 0.350
```

For the density, the calculation gives 4.40 g/cm³. The calculation puts the energy above the most stable polymorph in this dataset at 0.011 eV per atom. The total magnetization is 7.825 μB per cell. The space-group type is I4mm, No. 107.

***

Entry 7:
First-principles (PBE) data for a relaxed structure of NaGd2Y, as listed in Alexandria.

```
NaGd2Y
1.0
-0.803 3.323 -0.822
-0.827 0.631 3.359
10.199 2.949 1.959
Y Na Gd
1 1 2
direct
0.500 0.500 0.000
0.500 0.500 0.500
0.000 0.000 0.767
0.000 0.000 0.233
```

For the density, the calculation gives 5.30 g/cm³. The calculation puts the energy above the most stable polymorph in this dataset at 0.000 eV per atom. The total magnetization is 14.902 μB per cell. The space-group type is P4/mmm, No. 123.

***

Entry 8:
First-principles (PBE) data for a relaxed structure of NaGdY2, as listed in Alexandria.

```
NaGdY2
1.0
-0.982 -0.873 -3.294
2.121 -2.011 -2.008
-5.045 -10.937 2.493
Y Na Gd
2 1 1
direct
0.246 0.246 0.263
0.754 0.754 0.737
0.000 0.000 0.000
0.500 0.500 0.500
```

For the density, the calculation gives 4.50 g/cm³. The calculation puts the energy above the most stable polymorph in this dataset at 0.000 eV per atom. The total magnetization is 7.251 μB per cell. The space-group type is R-3m, No. 166.

***

Entry 9:
First-principles (PBE) data for a relaxed structure of NaGd2Y, as listed in Alexandria.

```
NaGd2Y
1.0
-2.421 1.663 1.959
-3.189 0.692 -1.347
-6.102 -10.408 4.473
Gd Y Na
2 1 1
direct
0.908 0.908 0.276
0.092 0.092 0.724
0.500 0.500 0.500
0.000 0.000 0.000
```

For the density, the calculation gives 5.16 g/cm³. The calculation puts the energy above the most stable polymorph in this dataset at 0.033 eV per atom. The total magnetization is 14.952 μB per cell. The space-group type is R-3m, No. 166.

***

Entry 10:
First-principles (PBE) data for a relaxed structure of NaGdZn2, as listed in Alexandria.

```
NaGdZn2
1.0
-0.895 2.804 -4.055
-3.036 -1.704 -3.604
-4.512 2.076 -0.664
Na Zn Gd
1 2 1
direct
0.000 0.000 0.000
0.250 0.250 0.250
0.750 0.750 0.750
0.500 0.500 0.500
```

For the density, the calculation gives 5.81 g/cm³. The calculation puts the energy above the most stable polymorph in this dataset at 0.010 eV per atom. The total magnetization is 7.257 μB per cell. The space-group type is Fm-3m, No. 225.

***

Entry 11:
First-principles (PBE) data for a relaxed structure of NaGd2Zn, as listed in Alexandria.

```
NaGd2Zn
1.0
3.589 0.000 0.000
0.000 3.589 0.000
0.000 0.000 8.959
Na Gd Zn
1 2 1
direct
0.500 0.500 0.500
0.000 0.000 0.192
0.000 0.000 0.808
0.500 0.500 0.000
```

For the density, the calculation gives 5.80 g/cm³. The calculation puts the energy above the most stable polymorph in this dataset at 0.000 eV per atom. The total magnetization is 15.112 μB per cell. The space-group type is P4/mmm, No. 123.

***

Entry 12:
First-principles (PBE) data for a relaxed structure of NaGd2Zn, as listed in Alexandria.

```
NaGd2Zn
1.0
3.509 0.000 0.000
1.754 3.039 0.000
1.754 1.013 11.579
Gd Zn Na
2 1 1
direct
0.898 0.898 0.307
0.102 0.102 0.693
0.500 0.500 0.500
0.000 0.000 0.000
```

For the density, the calculation gives 5.42 g/cm³. The calculation puts the energy above the most stable polymorph in this dataset at 0.157 eV per atom. The total magnetization is 14.938 μB per cell. The space-group type is R-3m, No. 166.

***

Calculated formation enthalpy at 0 K, -0.11; 0.15; 0.11; 0.14; 0.14; 0.15; 0.12; 0.13; 0.15; -0.08; -0.06; 0.10 eV per atom (same order as the records).